! Ca2PmIn, relaxed, DFT PBE-GGA; values from VASP
&SYSTEM
  ibrav = 0, nat = 4, ntyp = 3
/
ATOMIC_SPECIES
Ca 40.08 Ca.upf
In 114.82 In.upf
Pm 145.00 Pm.upf
CELL_PARAMETERS angstrom
-1.7897 -1.0109 3.0731
-1.4250 -3.4003 0.2755
8.8342 -5.2552 5.6400
ATOMIC_POSITIONS crystal
Ca 0.2586 0.2586 0.2243
In 0.6664 0.6664 0.0008
Pm 0.5006 0.5006 0.4983
Ca 0.0745 0.0745 0.7766
! - M_tot: 0.49 μB per formula unit
! - Energy: -11.87 eV/cell
! - Calculated formation energy: -0.094 eV per atom

! CaPm2In3, relaxed, DFT PBE-GGA; values from VASP
&SYSTEM
  ibrav = 0, nat = 6, ntyp = 3
/
ATOMIC_SPECIES
In 114.82 In.upf
Ca 40.08 Ca.upf
Pm 145.00 Pm.upf
CELL_PARAMETERS angstrom
-2.9461 1.4968 -1.7231
-2.2529 -2.3580 1.8037
-1.2068 8.1391 9.1332
ATOMIC_POSITIONS crystal
In 0.0000 0.0000 0.6631
In 0.0000 0.0000 0.0000
Ca 0.5000 0.5000 0.5000
In 0.0000 0.0000 0.3369
Pm 0.5000 0.5000 0.1701
Pm 0.5000 0.5000 0.8299
! - M_tot: 0.00 μB per formula unit
! - Energy: -22.60 eV/cell
! - Calculated formation energy: -0.481 eV per atom

! Ca5PmIn3, relaxed, DFT PBE-GGA; values from VASP
&SYSTEM
  ibrav = 0, nat = 18, ntyp = 3
/
ATOMIC_SPECIES
Ca 40.08 Ca.upf
In 114.82 In.upf
Pm 145.00 Pm.upf
CELL_PARAMETERS angstrom
-0.0672 -6.8945 1.9352
1.9458 -2.5510 -9.0209
7.1450 1.6575 6.1535
ATOMIC_POSITIONS crystal
Ca 0.0000 0.6667 0.3333
Ca 0.7500 0.6595 0.6595
In 0.2500 0.6791 0.6791
In 0.7500 0.6791 0.0000
Ca 0.5000 0.3333 0.6667
Ca 0.2500 0.3405 0.3405
Ca 0.7500 0.3405 0.0000
In 0.2500 0.0000 0.3209
In 0.2500 0.3209 0.0000
Pm 0.0000 0.0000 0.0000
Pm 0.5000 0.0000 0.0000
Ca 0.7500 0.0000 0.3405
Ca 0.5000 0.6667 0.3333
Ca 0.2500 0.6595 0.0000
Ca 0.0000 0.3333 0.6667
Ca 0.2500 0.0000 0.6595
In 0.7500 0.3209 0.3209
In 0.7500 0.0000 0.6791
! - M_tot: 0.00 μB per formula unit
! - Energy: -52.06 eV/cell
! - Calculated formation energy: -0.340 eV per atom

! CaPm2In3, relaxed, DFT PBE-GGA; values from VASP
&SYSTEM
  ibrav = 0, nat = 12, ntyp = 3
/
ATOMIC_SPECIES
Pm 145.00 Pm.upf
In 114.82 In.upf
Ca 40.08 Ca.upf
CELL_PARAMETERS angstrom
5.4402 0.0000 0.0000
-2.7201 4.7113 0.0000
0.0000 0.0000 13.3639
ATOMIC_POSITIONS crystal
Pm 0.0000 0.0000 0.5000
In 0.6667 0.3333 0.5829
In 0.0000 0.0000 0.2501
Pm 0.6667 0.3333 0.8283
Pm 0.0000 0.0000 0.0000
Pm 0.3333 0.6667 0.1717
In 0.6667 0.3333 0.0816
In 0.3333 0.6667 0.9184
In 0.3333 0.6667 0.4171
In 0.0000 0.0000 0.7499
Ca 0.6667 0.3333 0.3327
Ca 0.3333 0.6667 0.6673
! - M_tot: 0.00 μB per formula unit
! - Energy: -45.13 eV/cell
! - Calculated formation energy: -0.475 eV per atom

! CaPmIn6, relaxed, DFT PBE-GGA; values from VASP
&SYSTEM
  ibrav = 0, nat = 8, ntyp = 3
/
ATOMIC_SPECIES
In 114.82 In.upf
Pm 145.00 Pm.upf
Ca 40.08 Ca.upf
CELL_PARAMETERS angstrom
-3.2854 -1.9357 3.6694
-2.1573 -4.6560 -4.3877
5.2646 -1.3280 4.0131
ATOMIC_POSITIONS crystal
In 0.5000 0.9080 0.0920
Pm 0.0000 0.0835 0.9165
In 0.5000 0.4351 0.0928
In 0.5000 0.9072 0.5649
In 0.0000 0.5877 0.4123
In 0.0000 0.5883 0.9265
In 0.0000 0.0735 0.4117
Ca 0.5000 0.4164 0.5836
! - M_tot: 0.00 μB per formula unit
! - Energy: -26.02 eV/cell
! - Calculated formation energy: -0.355 eV per atom

! CaPm2In6, relaxed, DFT PBE-GGA; values from VASP
&SYSTEM
  ibrav = 0, nat = 9, ntyp = 3
/
ATOMIC_SPECIES
In 114.82 In.upf
Pm 145.00 Pm.upf
Ca 40.08 Ca.upf
CELL_PARAMETERS angstrom
3.6989 0.0000 0.0000
0.0000 7.5110 -4.3365
0.0000 0.0000 8.6730
ATOMIC_POSITIONS crystal
In 0.5000 0.3335 0.0000
In 0.5000 0.3335 0.3335
Pm 0.0000 0.6667 0.3333
In 0.5000 0.0000 0.3335
In 0.5000 0.6665 0.0000
In 0.5000 0.0000 0.6665
In 0.5000 0.6665 0.6665
Pm 0.0000 0.3333 0.6667
Ca 0.0000 0.0000 0.0000
! - M_tot: 0.00 μB per formula unit
! - Energy: -31.76 eV/cell
! - Calculated formation energy: -0.425 eV per atom

! Ca2PmIn, relaxed, DFT PBE-GGA; values from VASP
&SYSTEM
  ibrav = 0, nat = 4, ntyp = 3
/
ATOMIC_SPECIES
Pm 145.00 Pm.upf
Ca 40.08 Ca.upf
In 114.82 In.upf
CELL_PARAMETERS angstrom
5.6679 0.0000 0.0000
2.8340 4.9086 0.0000
2.8340 1.6362 4.6279
ATOMIC_POSITIONS crystal
Pm 0.0000 0.0000 0.0000
Ca 0.2500 0.2500 0.2500
In 0.5000 0.5000 0.5000
Ca 0.7500 0.7500 0.7500
! - M_tot: 0.61 μB per formula unit
! - Energy: -11.72 eV/cell
! - Calculated formation energy: -0.057 eV per atom

! Ca2PmIn, relaxed, DFT PBE-GGA; values from VASP
&SYSTEM
  ibrav = 0, nat = 4, ntyp = 3
/
ATOMIC_SPECIES
In 114.82 In.upf
Pm 145.00 Pm.upf
Ca 40.08 Ca.upf
CELL_PARAMETERS angstrom
4.1620 0.0000 0.0000
0.0000 4.1620 0.0000
0.0000 0.0000 7.5879
ATOMIC_POSITIONS crystal
In 0.5000 0.5000 0.0000
Pm 0.5000 0.5000 0.5000
Ca 0.0000 0.0000 0.2260
Ca 0.0000 0.0000 0.7740
! - M_tot: 0.00 μB per formula unit
! - Energy: -11.99 eV/cell
! - Calculated formation energy: -0.124 eV per atom

> Look up the calculated formation energy of the eighth one.

-0.124 eV per atom

> Among the records above, which one has the lowest energy?

Ca5PmIn3